Crystalline TaNb2Tl at its relaxed geometry. Source: Alexandria via LeMat-Bulk, functional PBE-GGA.

Summary:
The calculation puts the relative energy among the computed polymorphs at 512 meV per atom. As for the calculated formation energy: 0.8455 eV per atom. As for the electronic total energy: -62.0 eV for the cell shown. The density of states at the Fermi level comes out at 8.14 states/eV per cell. The space group is I-42d. For the volume, the calculation gives 20.987 A^3/atom.

Unit cell a=6.121 b=6.121 c=6.121 alpha=102.74 beta=102.74 gamma=123.99
Fractional coordinates of all 8 atoms:
1 Ta 0.000 0.000 0.000
2 Ta 0.750 0.250 0.500
3 Nb 0.105 0.625 0.980
4 Nb 0.375 0.355 0.480
5 Nb 0.645 0.125 0.020
6 Nb 0.875 0.895 0.520
7 Tl 0.250 0.750 0.500
8 Tl 0.500 0.500 0.000

Crystalline Na3ZrU2N6 at its relaxed geometry. Source: Alexandria via LeMat-Bulk, functional PBE-GGA.

Summary:
As for the electronic total energy: -98.1 eV for the cell shown. The density of states at the Fermi level comes out at 2.12 states/eV per cell. The formation energy from raw total energies is -1.087 eV/atom. The space group is C2/m. For the volume, the calculation gives 14.490 A^3/atom.

Unit cell a=5.936 b=5.936 c=6.032 alpha=99.42 beta=99.42 gamma=120.02
Fractional coordinates of all 12 atoms:
1 Na 0.000 0.000 0.000
2 Na 0.336 0.664 0.000
3 Na 0.664 0.336 0.000
4 Zr 0.500 0.500 0.500
5 U 0.167 0.833 0.500
6 U 0.833 0.167 0.500
7 N 0.099 0.438 0.315
8 N 0.223 0.223 0.687
9 N 0.438 0.099 0.315
10 N 0.562 0.901 0.685
11 N 0.777 0.777 0.313
12 N 0.901 0.562 0.685

Crystalline CePr6Se8 at its relaxed geometry. Source: Alexandria via LeMat-Bulk, functional PBE-GGA.

Summary:
As for the electronic total energy: -90.3 eV for the cell shown. The density of states at the Fermi level comes out at 13.80 states/eV per cell. The formation energy from raw total energies is -1.857 eV/atom. The space group is Fm-3m. For the volume, the calculation gives 29.029 A^3/atom.

Unit cell a=8.508 b=8.508 c=8.508 alpha=60.00 beta=60.00 gamma=60.00
Fractional coordinates of all 15 atoms:
1 Ce 0.000 0.000 0.000
2 Pr 0.000 0.000 0.500
3 Pr 0.000 0.500 0.000
4 Pr 0.000 0.500 0.500
5 Pr 0.500 0.000 0.000
6 Pr 0.500 0.000 0.500
7 Pr 0.500 0.500 0.000
8 Se 0.250 0.250 0.250
9 Se 0.250 0.250 0.750
10 Se 0.250 0.750 0.250
11 Se 0.250 0.750 0.750
12 Se 0.750 0.250 0.250
13 Se 0.750 0.250 0.750
14 Se 0.750 0.750 0.250
15 Se 0.750 0.750 0.750

Crystalline AsRuPb2 at its relaxed geometry. Source: Alexandria via LeMat-Bulk, functional PBE-GGA.

Summary:
As for the calculated formation energy: 0.0592 eV per atom. As for the electronic total energy: -21.1 eV for the cell shown. The density of states at the Fermi level comes out at 2.82 states/eV per cell. The space group is P4mm. For the volume, the calculation gives 22.894 A^3/atom.

Unit cell a=3.284 b=3.284 c=8.489 alpha=90.00 beta=90.00 gamma=90.00
Fractional coordinates of all 4 atoms:
1 As 0.000 0.000 0.000
2 Ru 0.500 0.500 0.878
3 Pb 0.000 0.000 0.625
4 Pb 0.500 0.500 0.269

Crystalline LaAg2Mo at its relaxed geometry. Source: Alexandria via LeMat-Bulk, functional PBE-GGA.

Summary:
The calculation puts the relative energy among the computed polymorphs at 128 meV per atom. As for the calculated formation energy: 0.4931 eV per atom. As for the electronic total energy: -19.5 eV for the cell shown. The density of states at the Fermi level comes out at 1.22 states/eV per cell. The space group is F-43m. For the volume, the calculation gives 21.979 A^3/atom.

Unit cell a=4.991 b=4.991 c=4.991 alpha=60.00 beta=60.00 gamma=60.00
Fractional coordinates of all 4 atoms:
1 La 0.000 0.000 0.000
2 Ag 0.250 0.250 0.250
3 Ag 0.500 0.500 0.500
4 Mo 0.750 0.750 0.750

Crystalline ZnFeIr6 at its relaxed geometry. Source: Alexandria via LeMat-Bulk, functional PBE-GGA.

Summary:
As for the calculated formation energy: 0.0017 eV per atom. As for the electronic total energy: -62.9 eV for the cell shown. The density of states at the Fermi level comes out at 10.04 states/eV per cell. The space group is P4/mmm. For the volume, the calculation gives 14.225 A^3/atom.

Unit cell a=3.852 b=3.852 c=7.672 alpha=90.00 beta=90.00 gamma=90.00
Fractional coordinates of all 8 atoms:
1 Zn 0.000 0.000 0.000
2 Fe 0.000 0.000 0.500
3 Ir 0.000 0.500 0.256
4 Ir 0.000 0.500 0.744
5 Ir 0.500 0.000 0.256
6 Ir 0.500 0.000 0.744
7 Ir 0.500 0.500 0.000
8 Ir 0.500 0.500 0.500

Crystalline Re2TeAs at its relaxed geometry. Source: Alexandria via LeMat-Bulk, functional PBE-GGA.

Summary:
The calculation puts the relative energy among the computed polymorphs at 386 meV per atom. As for the electronic total energy: -30.2 eV for the cell shown. The density of states at the Fermi level comes out at 3.03 states/eV per cell. The formation energy from raw total energies is 0.631 eV/atom. The space group is R-3m. For the volume, the calculation gives 16.906 A^3/atom.

Unit cell a=8.237 b=8.237 c=8.237 alpha=21.81 beta=21.81 gamma=21.81
Fractional coordinates of all 4 atoms:
1 Re 0.245 0.245 0.245
2 Re 0.755 0.755 0.755
3 Te 0.000 0.000 0.000
4 As 0.500 0.500 0.500

Crystalline MgAlO at its relaxed geometry. Source: Alexandria via LeMat-Bulk, functional PBE-GGA.

Summary:
The calculation puts the relative energy among the computed polymorphs at 19 meV per atom. As for the electronic total energy: -29.7 eV for the cell shown. The density of states at the Fermi level comes out at 1.54 states/eV per cell. The formation energy from raw total energies is -1.516 eV/atom. The space group is Pm. For the volume, the calculation gives 15.860 A^3/atom.

Unit cell a=4.794 b=2.998 c=6.978 alpha=90.00 beta=108.41 gamma=90.00
Fractional coordinates of all 6 atoms:
1 Mg 0.000 0.000 0.000
2 Mg 0.187 0.000 0.450
3 Al 0.439 0.500 0.812
4 Al 0.571 0.500 0.208
5 O 0.208 0.500 0.241
6 O 0.745 0.000 0.329

Crystalline AlSb2Br at its relaxed geometry. Source: Alexandria via LeMat-Bulk, functional PBE-GGA.

Summary:
The calculation puts the relative energy among the computed polymorphs at 211 meV per atom. As for the electronic total energy: -13.6 eV for the cell shown. The density of states at the Fermi level comes out at 2.66 states/eV per cell. The formation energy from raw total energies is 0.012 eV/atom. The space group is P4/mmm. For the volume, the calculation gives 25.305 A^3/atom.

Unit cell a=3.548 b=3.548 c=8.042 alpha=90.00 beta=90.00 gamma=90.00
Fractional coordinates of all 4 atoms:
1 Al 0.000 0.000 0.000
2 Sb 0.500 0.500 0.202
3 Sb 0.500 0.500 0.798
4 Br 0.000 0.000 0.500

Crystalline AcGa3IrRh at its relaxed geometry. Source: Alexandria via LeMat-Bulk, functional PBE-GGA.

Summary:
As for the calculated formation energy: -0.5160 eV per atom. As for the electronic total energy: -65.0 eV for the cell shown. The density of states at the Fermi level comes out at 6.62 states/eV per cell. The space group is Cmcm. For the volume, the calculation gives 22.040 A^3/atom.

Unit cell a=6.822 b=6.822 c=6.127 alpha=90.00 beta=90.00 gamma=111.94
Fractional coordinates of all 12 atoms:
1 Ac 0.234 0.766 0.750
2 Ac 0.766 0.234 0.250
3 Ga 0.247 0.247 0.000
4 Ga 0.247 0.247 0.500
5 Ga 0.268 0.732 0.250
6 Ga 0.732 0.268 0.750
7 Ga 0.753 0.753 0.000
8 Ga 0.753 0.753 0.500
9 Ir 0.060 0.940 0.250
10 Ir 0.940 0.060 0.750
11 Rh 0.472 0.528 0.250
12 Rh 0.528 0.472 0.750

Crystalline SrLa2W at its relaxed geometry. Source: Alexandria via LeMat-Bulk, functional PBE-GGA.

Summary:
The calculation puts the relative energy among the computed polymorphs at 456 meV per atom. As for the calculated formation energy: 0.9144 eV per atom. As for the electronic total energy: -20.8 eV for the cell shown. The density of states at the Fermi level comes out at 6.38 states/eV per cell. The space group is Cmmm. For the volume, the calculation gives 29.437 A^3/atom.

Unit cell a=6.000 b=6.000 c=3.434 alpha=90.00 beta=90.00 gamma=107.72
Fractional coordinates of all 4 atoms:
1 Sr 0.000 0.000 0.000
2 La 0.000 0.500 0.500
3 La 0.500 0.000 0.500
4 W 0.500 0.500 0.000

Crystalline TbHo3Tm2As6 at its relaxed geometry. Source: Alexandria via LeMat-Bulk, functional PBE-GGA.

Summary:
As for the calculated formation energy: -1.5220 eV per atom. As for the electronic total energy: -73.5 eV for the cell shown. The density of states at the Fermi level comes out at 1.94 states/eV per cell. The space group is C2/m. For the volume, the calculation gives 24.264 A^3/atom.

Unit cell a=7.091 b=7.091 c=7.090 alpha=99.59 beta=99.59 gamma=119.99
Fractional coordinates of all 12 atoms:
1 Tb 0.000 0.000 0.000
2 Ho 0.166 0.834 0.500
3 Ho 0.500 0.500 0.500
4 Ho 0.834 0.166 0.500
5 Tm 0.333 0.667 0.000
6 Tm 0.667 0.333 0.000
7 As 0.083 0.419 0.249
8 As 0.253 0.253 0.751
9 As 0.419 0.083 0.249
10 As 0.581 0.917 0.751
11 As 0.747 0.747 0.249
12 As 0.917 0.581 0.751

What did the second record say?
Crystalline Na3ZrU2N6 at its relaxed geometry. Source: Alexandria via LeMat-Bulk, functional PBE-GGA.

Summary:
As for the electronic total energy: -98.1 eV for the cell shown. The density of states at the Fermi level comes out at 2.12 states/eV per cell. The formation energy from raw total energies is -1.087 eV/atom. The space group is C2/m. For the volume, the calculation gives 14.490 A^3/atom.

Unit cell a=5.936 b=5.936 c=6.032 alpha=99.42 beta=99.42 gamma=120.02
Fractional coordinates of all 12 atoms:
1 Na 0.000 0.000 0.000
2 Na 0.336 0.664 0.000
3 Na 0.664 0.336 0.000
4 Zr 0.500 0.500 0.500
5 U 0.167 0.833 0.500
6 U 0.833 0.167 0.500
7 N 0.099 0.438 0.315
8 N 0.223 0.223 0.687
9 N 0.438 0.099 0.315
10 N 0.562 0.901 0.685
11 N 0.777 0.777 0.313
12 N 0.901 0.562 0.685